# 1
Li3Fe2Ni2O8: relaxed, GGA-PBEsol.

```
data_Li3Fe2Ni2O8
_chemical_formula_sum 'Li6 Fe4 Ni4 O16'
_symmetry_space_group_name_H-M 'C 1 2/m 1'
_symmetry_Int_Tables_number 12
_cell_length_a 10.005
_cell_length_b 5.612
_cell_length_c 5.494
_cell_angle_alpha 90.00
_cell_angle_beta 122.91
_cell_angle_gamma 90.00
loop_
_symmetry_equiv_pos_as_xyz
'x,y,z'
'-x,-y,-z'
'-x,y,-z'
'x,-y,z'
'x+1/2,y+1/2,z'
'-x+1/2,-y+1/2,-z'
'-x+1/2,y+1/2,-z'
'x+1/2,-y+1/2,z'
loop_
_atom_site_label
_atom_site_fract_x
_atom_site_fract_y
_atom_site_fract_z
Li1 0.000 0.000 0.000
Li2 0.250 0.250 0.500
Fe1 0.000 0.500 0.000
Fe2 0.000 0.500 0.500
Ni1 0.250 0.250 0.000
O1 0.002 0.272 0.249
O2 0.223 0.500 0.202
O3 0.227 0.500 0.744
```

# 2
Li5Fe2Ni3O10: relaxed, GGA-PBEsol.

```
data_Li5Fe2Ni3O10
_chemical_formula_sum 'Li5 Fe2 Ni3 O10'
_symmetry_space_group_name_H-M 'P -1'
_symmetry_Int_Tables_number 2
_cell_length_a 4.990
_cell_length_b 5.030
_cell_length_c 7.333
_cell_angle_alpha 108.64
_cell_angle_beta 103.30
_cell_angle_gamma 100.40
loop_
_symmetry_equiv_pos_as_xyz
'x,y,z'
'-x,-y,-z'
loop_
_atom_site_label
_atom_site_fract_x
_atom_site_fract_y
_atom_site_fract_z
Li1 0.000 0.000 0.000
Li2 0.100 0.212 0.710
Li3 0.292 0.585 0.095
Fe1 0.399 0.808 0.811
Ni1 0.199 0.400 0.398
Ni2 0.500 0.000 0.500
O1 0.060 0.623 0.841
O2 0.183 0.785 0.544
O3 0.276 0.036 0.270
O4 0.369 0.183 0.949
O5 0.428 0.440 0.655
```

# 3
Li3FeNi2O6: relaxed, GGA-PBEsol.

```
data_Li3FeNi2O6
_chemical_formula_sum 'Li6 Fe2 Ni4 O12'
_symmetry_space_group_name_H-M 'C 1 2/m 1'
_symmetry_Int_Tables_number 12
_cell_length_a 12.652
_cell_length_b 2.797
_cell_length_c 5.677
_cell_angle_alpha 90.00
_cell_angle_beta 102.05
_cell_angle_gamma 90.00
loop_
_symmetry_equiv_pos_as_xyz
'x,y,z'
'-x,-y,-z'
'-x,y,-z'
'x,-y,z'
'x+1/2,y+1/2,z'
'-x+1/2,-y+1/2,-z'
'-x+1/2,y+1/2,-z'
'x+1/2,-y+1/2,z'
loop_
_atom_site_label
_atom_site_fract_x
_atom_site_fract_y
_atom_site_fract_z
Li1 0.000 0.000 0.000
Li2 0.167 0.500 0.327
Fe1 0.000 0.000 0.500
Ni1 0.166 0.500 0.835
O1 0.000 0.500 0.275
O2 0.154 0.000 0.595
O3 0.169 0.000 0.067
```

# 4
Li3Fe2NiO6: relaxed, GGA-PBEsol.

```
data_Li3Fe2NiO6
_chemical_formula_sum 'Li6 Fe4 Ni2 O12'
_symmetry_space_group_name_H-M 'C 1 2/m 1'
_symmetry_Int_Tables_number 12
_cell_length_a 12.477
_cell_length_b 2.818
_cell_length_c 5.672
_cell_angle_alpha 90.00
_cell_angle_beta 103.90
_cell_angle_gamma 90.00
loop_
_symmetry_equiv_pos_as_xyz
'x,y,z'
'-x,-y,-z'
'-x,y,-z'
'x,-y,z'
'x+1/2,y+1/2,z'
'-x+1/2,-y+1/2,-z'
'-x+1/2,y+1/2,-z'
'x+1/2,-y+1/2,z'
loop_
_atom_site_label
_atom_site_fract_x
_atom_site_fract_y
_atom_site_fract_z
Li1 0.000 0.000 0.000
Li2 0.164 0.500 0.346
Fe1 0.172 0.500 0.843
Ni1 0.000 0.000 0.500
O1 0.015 0.500 0.743
O2 0.170 0.000 0.073
O3 0.170 0.000 0.616
```

Record order is preserved below.
Formation energy (no corrections): -1.38 -1.43 -1.42 -1.51 eV/atom